VASP calculation (PBE) on crystalline Ac2ZnSi4Pd3 at its relaxed geometry.

The uncorrected formation energy comes out at -0.76 eV/atom. The calculated volume comes out at 195.6 Å³/cell.

Cell: 4.3735 4.3735 10.2241 Å, 90.00 90.00 90.00°
Closest atoms and distances in Å follow each position.
Space group P-4m2 (No. 115)
Unique sites:
Ac 0.0000 0.5000 0.2482 x2  8 Si 3.33-3.35, 6 Pd 3.37-3.38, 2 Zn 3.38
Zn 0.0000 0.0000 0.5000 x1  4 Si 2.57
Si 0.0000 0.0000 0.0000 x1  4 Pd 2.50
Si 0.0000 0.5000 0.6322 x2  3 Pd 2.55-2.57, 2 Zn 2.57
Si 0.5000 0.5000 0.0000 x1  4 Pd 2.50
Pd 0.0000 0.5000 0.8820 x2  5 Si 2.50-2.55
Pd 0.5000 0.5000 0.5000 x1  4 Si 2.57

VASP calculation (PBE) on crystalline RbCaRuC2 at its relaxed geometry.

The formation enthalpy at 0 K comes out at 2.97 eV/atom. The calculated volume comes out at 117.6 Å³/cell.

Cell: 4.6456 4.6456 5.4481 Å, 90.00 90.00 90.00°
Closest atoms and distances in Å follow each position.
Space group P4/mmm (No. 123)
Unique sites:
Rb 0.0000 0.0000 0.0000 x1  2 Ca 2.72
Ca 0.0000 0.0000 0.5000 x1  4 C 2.32
Ru 0.5000 0.5000 0.0000 x1  4 Rb 3.28, 8 C 3.58
C 0.0000 0.5000 0.5000 x2  2 Ca 2.32

VASP calculation (PBE) on crystalline LiAs2SBr at its relaxed geometry.

Its energy relative to the lowest polymorph listed for this composition is 0.0000 eV/atom. The uncorrected formation energy comes out at 0.21 eV/atom. The calculated volume comes out at 178.8 Å³/cell.

Cell: 4.6557 4.6557 8.2477 Å, 90.00 90.00 90.00°
Closest atoms and distances in Å follow each position.
Space group P4/mmm (No. 123)
Unique sites:
Li 0.0000 0.0000 0.0000 x1  4 Br 3.29
As 0.0000 0.5000 0.5000 x2  2 S 2.33
S 0.5000 0.5000 0.5000 x1  4 As 2.33
Br 0.5000 0.5000 0.0000 x1  4 Li 3.29

VASP calculation (PBE) on crystalline YInTc2 at its relaxed geometry.

The formation enthalpy at 0 K comes out at 0.44 eV/atom. The calculated volume comes out at 150.7 Å³/cell.

Cell: 3.4202 4.8746 9.0390 Å, 90.00 90.00 90.00°
Closest atoms and distances in Å follow each position.
Space group Cmmm (No. 65)
Unique sites:
Y 0.0000 0.0000 0.0000 x2  4 Tc 2.89, 4 Y 2.98
In 0.0000 0.0000 0.5000 x2  4 Tc 2.78, 4 In 2.98
Tc 0.0000 0.5000 0.2572 x4  2 In 2.78, 2 Y 2.89, 4 Tc 2.98

VASP calculation (PBE) on crystalline CuSbO2F at its relaxed geometry.

The uncorrected formation energy comes out at -0.77 eV/atom. The calculated volume comes out at 71.8 Å³/cell.

Cell: 4.0889 4.0889 4.2964 Å, 90.00 90.00 90.00°
Closest atoms and distances in Å follow each position.
Space group P4/mmm (No. 123)
Unique sites:
Cu 0.0000 0.0000 0.0000 x1  4 F 2.89, 8 O 2.97
Sb 0.5000 0.5000 0.5000 x1  4 O 2.04, 2 F 2.15
O 0.0000 0.5000 0.5000 x2  2 Sb 2.04
F 0.5000 0.5000 0.0000 x1  2 Sb 2.15

VASP calculation (PBE) on crystalline Te2AsRh at its relaxed geometry.

The uncorrected formation energy comes out at -0.05 eV/atom. The calculated volume comes out at 181.6 Å³/cell.

Cell: 6.8679 3.9572 7.0535 Å, 90.00 108.68 90.00°
Closest atoms and distances in Å follow each position.
Space group C2/m (No. 12)
Unique sites:
Te 0.2398 0.0000 0.2210 x4  3 Rh 2.72, 3 As 2.94-2.95
As 0.0000 0.0000 0.5000 x2  6 Te 2.94-2.95
Rh 0.0000 0.5000 0.0000 x2  6 Te 2.72

VASP calculation (PBE) on crystalline Sc2TcGeC at its relaxed geometry.

The formation enthalpy at 0 K comes out at -0.50 eV/atom. Its energy relative to the lowest polymorph listed for this composition is 0.0000 eV/atom. The calculated volume comes out at 80.3 Å³/cell.

Cell: 4.4898 4.4898 3.9818 Å, 90.00 90.00 90.00°
Closest atoms and distances in Å follow each position.
Space group P4/mmm (No. 123)
Unique sites:
Sc 0.0000 0.5000 0.0000 x2  2 C 2.24
Tc 0.0000 0.0000 0.5000 x1  2 C 1.99
Ge 0.5000 0.5000 0.5000 x1  8 Sc 3.00, 4 Tc 3.17
C 0.0000 0.0000 0.0000 x1  2 Tc 1.99

VASP calculation (PBE) on crystalline Dy4TcTe at its relaxed geometry.

The uncorrected formation energy comes out at -0.52 eV/atom. The calculated volume comes out at 644.3 Å³/cell.

Cell: 8.0748 4.1150 19.3893 Å, 90.00 90.00 90.00°
Closest atoms and distances in Å follow each position.
Space group Pnma (No. 62)
Unique sites:
Dy 0.0017 0.2500 0.0664 x4  3 Tc 2.88-3.13, 1 Te 3.17
Dy 0.0594 0.7500 0.2113 x4  4 Te 3.18-3.22, 1 Tc 3.37, 4 Dy 3.51-3.53
Dy 0.1256 0.7500 0.6424 x4  2 Tc 2.83
Dy 0.1435 0.7500 0.4558 x4  3 Tc 2.97-3.19
Tc 0.2501 0.2500 0.5567 x4  7 Dy 2.83-3.13
Te 0.2446 0.7500 0.8060 x4  7 Dy 3.17-3.31

Repeat the eighth record exactly.
VASP calculation (PBE) on crystalline Dy4TcTe at its relaxed geometry.

The uncorrected formation energy comes out at -0.52 eV/atom. The calculated volume comes out at 644.3 Å³/cell.

Cell: 8.0748 4.1150 19.3893 Å, 90.00 90.00 90.00°
Closest atoms and distances in Å follow each position.
Space group Pnma (No. 62)
Unique sites:
Dy 0.0017 0.2500 0.0664 x4  3 Tc 2.88-3.13, 1 Te 3.17
Dy 0.0594 0.7500 0.2113 x4  4 Te 3.18-3.22, 1 Tc 3.37, 4 Dy 3.51-3.53
Dy 0.1256 0.7500 0.6424 x4  2 Tc 2.83
Dy 0.1435 0.7500 0.4558 x4  3 Tc 2.97-3.19
Tc 0.2501 0.2500 0.5567 x4  7 Dy 2.83-3.13
Te 0.2446 0.7500 0.8060 x4  7 Dy 3.17-3.31